Below is a relaxed structure of NaNp2I6, with properties calculated at the PBE-GGA level.

volume	45.67	Å³/atom
total magnetization	9.00	μB per formula unit
E_tot	-44.48	eV/cell
SG	C2/m

Cell: 8.614 8.614 11.725 Å, 109.30 109.30 30.18°
Element x y z (fractional)
1 Na 0.000 0.000 0.000
2 Np 0.335 0.335 0.666
3 Np 0.665 0.665 0.334
4 I 0.026 0.026 0.299
5 I 0.308 0.308 0.383
6 I 0.354 0.354 0.935
7 I 0.646 0.646 0.065
8 I 0.692 0.692 0.617
9 I 0.974 0.974 0.701